# 1
Here is an optimized crystal structure of Pu2Sn2Se7 from Alexandria via LeMat-Bulk. Energies are from PBE-GGA.

Summary:
The final energy comes out at -6.28 eV/atom. As for the symmetry: Imm2. The crystal system is orthorhombic. The value obtained for the density of states at the Fermi level is 22.11 states/eV/cell.

POSCAR file:
```
Pu2Sn2Se7
1.0
-2.036 7.067 4.789
2.036 -7.067 4.789
2.036 7.067 -4.789
Pu Sn Se
2 2 7
direct
0.232 0.000 0.232
0.768 0.000 0.768
0.277 0.277 0.000
0.769 0.269 0.500
0.065 0.709 0.356
0.353 0.709 0.644
0.392 0.516 0.876
0.599 0.290 0.310
0.640 0.516 0.124
0.959 0.959 0.000
0.980 0.290 0.690
```

# 2
Here is an optimized crystal structure of Pu2SnSe5 from Alexandria via LeMat-Bulk. Energies are from PBE-GGA.

Summary:
As for the symmetry: Pbam. The crystal system is orthorhombic. The value obtained for the density of states at the Fermi level is 34.21 states/eV/cell. The relative energy among the computed polymorphs comes out at 0.0 kJ per mole of atoms.

POSCAR file:
```
Pu2SnSe5
1.0
8.065 0.000 0.000
0.000 12.042 0.000
0.000 0.000 4.040
Pu Sn Se
4 2 10
direct
0.035 0.172 0.000
0.465 0.672 0.000
0.535 0.328 0.000
0.965 0.828 0.000
0.000 0.500 0.500
0.500 0.000 0.500
0.000 0.000 0.500
0.174 0.698 0.500
0.177 0.401 0.000
0.323 0.901 0.000
0.326 0.198 0.500
0.500 0.500 0.500
0.674 0.802 0.500
0.677 0.099 0.000
0.823 0.599 0.000
0.826 0.302 0.500
```

# 3
Here is an optimized crystal structure of Pu6SnSe12 from Alexandria via LeMat-Bulk. Energies are from PBE-GGA.

Summary:
The final energy comes out at -8.15 eV/atom. As for the symmetry: R-3. The crystal system is trigonal. The value obtained for the density of states at the Fermi level is 50.63 states/eV/cell.

POSCAR file:
```
Pu6SnSe12
1.0
6.305 3.640 3.842
-6.305 3.640 3.842
0.000 -7.280 3.842
Pu Sn Se
6 1 12
direct
0.123 0.635 0.810
0.190 0.877 0.365
0.365 0.190 0.877
0.635 0.810 0.123
0.810 0.123 0.635
0.877 0.365 0.190
0.500 0.500 0.500
0.074 0.323 0.925
0.075 0.926 0.677
0.175 0.542 0.445
0.323 0.925 0.074
0.445 0.175 0.542
0.458 0.555 0.825
0.542 0.445 0.175
0.555 0.825 0.458
0.677 0.075 0.926
0.825 0.458 0.555
0.925 0.074 0.323
0.926 0.677 0.075
```

# 4
Here is an optimized crystal structure of Pu2SnSe from Alexandria via LeMat-Bulk. Energies are from PBE-GGA.

Summary:
As for the symmetry: R-3m. The crystal system is trigonal. The value obtained for the density of states at the Fermi level is 63.65 states/eV/cell. The relative energy among the computed polymorphs comes out at 5.9 kJ per mole of atoms.

POSCAR file:
```
Pu2SnSe
1.0
4.088 0.000 0.000
-2.044 3.540 0.000
0.000 0.000 23.243
Pu Sn Se
6 3 3
direct
0.000 0.000 0.241
0.000 0.000 0.759
0.333 0.667 0.426
0.333 0.667 0.908
0.667 0.333 0.092
0.667 0.333 0.574
0.000 0.000 0.000
0.333 0.667 0.667
0.667 0.333 0.333
0.000 0.000 0.500
0.333 0.667 0.167
0.667 0.333 0.833
```

# 5
Here is an optimized crystal structure of PuSnSe4 from Alexandria via LeMat-Bulk. Energies are from PBE-GGA.

Summary:
The final energy comes out at -6.03 eV/atom. As for the symmetry: P2_1/c. The crystal system is monoclinic. The value obtained for the density of states at the Fermi level is 16.50 states/eV/cell.

POSCAR file:
```
PuSnSe4
1.0
6.835 0.000 0.000
0.000 6.804 0.000
-0.903 0.000 6.965
Pu Sn Se
2 2 8
direct
0.000 0.000 0.000
0.000 0.500 0.500
0.500 0.000 0.500
0.500 0.500 0.000
0.182 0.192 0.336
0.182 0.308 0.836
0.292 0.714 0.258
0.292 0.786 0.758
0.708 0.214 0.242
0.708 0.286 0.742
0.818 0.692 0.164
0.818 0.808 0.664
```

# 6
Here is an optimized crystal structure of Pu2SnSe from Alexandria via LeMat-Bulk. Energies are from PBE-GGA.

Summary:
As for the symmetry: P4/mmm. The crystal system is tetragonal. The value obtained for the density of states at the Fermi level is 13.09 states/eV/cell. The relative energy among the computed polymorphs comes out at 0.0 kJ per mole of atoms.

POSCAR file:
```
Pu2SnSe
1.0
3.468 0.000 0.000
0.000 3.468 0.000
0.000 0.000 8.165
Pu Sn Se
2 1 1
direct
0.000 0.000 0.225
0.000 0.000 0.775
0.500 0.500 0.500
0.500 0.500 0.000
```

# 7
Here is an optimized crystal structure of PuSn2Se3 from Alexandria via LeMat-Bulk. Energies are from PBE-GGA.

Summary:
The final energy comes out at -6.17 eV/atom. As for the symmetry: Pmc2_1. The crystal system is orthorhombic. The value obtained for the density of states at the Fermi level is 20.16 states/eV/cell.

POSCAR file:
```
PuSn2Se3
1.0
3.949 0.000 0.000
0.000 10.025 0.000
0.000 0.000 7.773
Pu Sn Se
2 4 6
direct
0.000 0.111 0.000
0.000 0.889 0.500
0.000 0.220 0.449
0.000 0.780 0.949
0.500 0.440 0.626
0.500 0.560 0.126
0.000 0.400 0.873
0.000 0.600 0.373
0.500 0.056 0.718
0.500 0.283 0.191
0.500 0.717 0.691
0.500 0.944 0.218
```

# 8
Here is an optimized crystal structure of PuTl2SnSe4 from Alexandria via LeMat-Bulk. Energies are from PBE-GGA.

Summary:
The final energy comes out at -5.38 eV/atom. As for the symmetry: P2/m. The crystal system is monoclinic. The value obtained for the density of states at the Fermi level is 11.92 states/eV/cell.

POSCAR file:
```
PuTl2SnSe4
1.0
7.493 0.000 0.000
0.000 4.242 0.000
-2.421 0.000 7.551
Pu Tl Sn Se
1 2 1 4
direct
0.000 0.000 0.000
0.000 0.500 0.500
0.500 0.000 0.500
0.500 0.500 0.000
0.225 0.500 0.203
0.249 0.000 0.792
0.751 0.000 0.208
0.775 0.500 0.797
```

# 9
Here is an optimized crystal structure of PuTl3Sn2Se6 from Alexandria via LeMat-Bulk. Energies are from PBE-GGA.

Summary:
The final energy comes out at -4.83 eV/atom. As for the symmetry: C2/m. The crystal system is monoclinic. The value obtained for the density of states at the Fermi level is 11.81 states/eV/cell.

POSCAR file:
```
PuTl3Sn2Se6
1.0
3.721 -6.419 0.000
3.721 6.419 0.000
-2.436 0.000 7.526
Pu Tl Sn Se
1 3 2 6
direct
0.000 0.000 0.000
0.170 0.830 0.500
0.500 0.500 0.500
0.830 0.170 0.500
0.334 0.666 0.000
0.666 0.334 0.000
0.067 0.384 0.204
0.247 0.247 0.790
0.384 0.067 0.204
0.616 0.933 0.796
0.753 0.753 0.210
0.933 0.616 0.796
```

# 10
Here is an optimized crystal structure of Pu2Tl3SnSe6 from Alexandria via LeMat-Bulk. Energies are from PBE-GGA.

Summary:
The final energy comes out at -5.95 eV/atom. As for the symmetry: C2/m. The crystal system is monoclinic. The value obtained for the density of states at the Fermi level is 21.39 states/eV/cell.

POSCAR file:
```
Pu2Tl3SnSe6
1.0
3.704 -6.397 0.000
3.704 6.397 0.000
-2.442 0.000 7.624
Pu Tl Sn Se
2 3 1 6
direct
0.167 0.833 0.000
0.833 0.167 0.000
0.000 0.000 0.500
0.337 0.663 0.500
0.663 0.337 0.500
0.500 0.500 0.000
0.082 0.431 0.793
0.218 0.218 0.202
0.431 0.082 0.793
0.569 0.918 0.207
0.782 0.782 0.798
0.918 0.569 0.207
```

# 11
Here is an optimized crystal structure of PuTlSnSe3 from Alexandria via LeMat-Bulk. Energies are from PBE-GGA.

Summary:
The final energy comes out at -6.04 eV/atom. As for the symmetry: P2_1/m. The crystal system is monoclinic. The value obtained for the density of states at the Fermi level is 20.45 states/eV/cell.

POSCAR file:
```
PuTlSnSe3
1.0
9.300 0.000 0.000
0.000 4.190 0.000
-1.605 0.000 9.595
Pu Tl Sn Se
2 2 2 6
direct
0.140 0.250 0.158
0.860 0.750 0.842
0.325 0.750 0.826
0.675 0.250 0.174
0.356 0.750 0.457
0.644 0.250 0.543
0.075 0.250 0.858
0.163 0.250 0.458
0.362 0.750 0.175
0.638 0.250 0.825
0.837 0.750 0.542
0.925 0.750 0.142
```

# 12
Here is an optimized crystal structure of PuTlSn2Se4 from Alexandria via LeMat-Bulk. Energies are from PBE-GGA.

Summary:
The final energy comes out at -5.51 eV/atom. As for the symmetry: P2/m. The crystal system is monoclinic. The value obtained for the density of states at the Fermi level is 16.70 states/eV/cell.

POSCAR file:
```
PuTlSn2Se4
1.0
7.507 0.000 0.000
0.000 4.280 0.000
-2.432 0.000 7.128
Pu Tl Sn Se
1 1 2 4
direct
0.000 0.000 0.000
0.000 0.500 0.500
0.500 0.000 0.500
0.500 0.500 0.000
0.245 0.500 0.227
0.259 0.000 0.774
0.741 0.000 0.226
0.755 0.500 0.773
```